# La2CrGa2, single point on PBEsol structure, DFT meta-GGA SCAN
data_La2CrGa2
_cell_length_a 3.619
_cell_length_b 3.619
_cell_length_c 9.682
_cell_angle_alpha 100.77
_cell_angle_beta 100.77
_cell_angle_gamma 90.00
_symmetry_space_group_name_H-M 'P 1'
_symmetry_Int_Tables_number 1
_symmetry_space_group_name_Hall 'P 1'
loop_
_atom_site_label
_atom_site_type_symbol
_atom_site_fract_x
_atom_site_fract_y
_atom_site_fract_z
Ga1 Ga 0.250 0.750 0.500
Ga2 Ga 0.750 0.250 0.500
Cr1 Cr 0.000 0.000 0.000
La1 La 0.399 0.399 0.799
La2 La 0.601 0.601 0.201
# Theoretical density (g cm⁻³): 6.37
# Symmetry: I4/mmm (139)
# Formation energy from the elements (eV/atom): -0.015
# Crystal system: tetragonal